This record from Alexandria describes crystalline RbNaNi2 at its relaxed geometry. The functional is PBE-GGA.

a = 7.1552 Å, b = 7.1552 Å, c = 7.1552 Å
α = 90.00°, β = 90.00°, γ = 90.00°
Space group Fm-3m (No. 225)
Symmetry-distinct sites (fractional):
Rb 0.0000 0.0000 0.0000
Na 0.0000 0.0000 0.5000
Ni 0.2500 0.2500 0.2500

D(E_F) in states/eV/atom: 0.81
Uncorrected energy in eV/atom: -2.35
Mass density in g/cm3: 4.1
ΔE_f in eV per atom: 1.111
E above lowest polymorph in eV/atom: 0.773

***

This record from Alexandria describes crystalline RbNaNi3 at its relaxed geometry. The functional is PBE-GGA.

a = 4.8648 Å, b = 4.8648 Å, c = 4.8648 Å
α = 90.00°, β = 90.00°, γ = 90.00°
Space group Pm-3m (No. 221)
Symmetry-distinct sites (fractional):
Rb 0.0000 0.0000 0.0000
Na 0.5000 0.5000 0.5000
Ni 0.0000 0.0000 0.5000

D(E_F) in states/eV/atom: 0.03
Uncorrected energy in eV/atom: -2.03
Mass density in g/cm3: 4.1
ΔE_f in eV per atom: 1.898
E above lowest polymorph in eV/atom: 0.421

***

This record from Alexandria describes crystalline RbNaNiS2 at its relaxed geometry. The functional is PBE-GGA.

a = 5.7730 Å, b = 5.7730 Å, c = 5.1455 Å
α = 90.00°, β = 90.00°, γ = 90.00°
Space group P4/mmm (No. 123)
Symmetry-distinct sites (fractional):
Rb 0.0000 0.0000 0.0000
Na 0.0000 0.0000 0.5000
Ni 0.5000 0.5000 0.5000
S 0.0000 0.5000 0.0000

D(E_F) in states/eV/atom: 2.65
E_form (uncorrected) in eV per atom: 1.11
Uncorrected energy in eV/atom: -2.16
Mass density in g/cm3: 2.2
E above lowest polymorph in eV/atom: 1.852

***

This record from Alexandria describes crystalline RbNaNiS2 at its relaxed geometry. The functional is PBE-GGA.

a = 5.4960 Å, b = 7.3452 Å, c = 5.7239 Å
α = 90.00°, β = 90.00°, γ = 90.00°
Space group Pmma (No. 51)
Symmetry-distinct sites (fractional):
Rb 0.2500 0.0000 0.2456
Na 0.2500 0.5000 0.0780
Ni 0.0000 0.5000 0.5000
S 0.2500 0.2958 0.6690

D(E_F) in states/eV/atom: 0.02
E_form (uncorrected) in eV per atom: -0.75
Uncorrected energy in eV/atom: -4.01
Mass density in g/cm3: 3.3
E above lowest polymorph in eV/atom: 0.000

***

This record from Alexandria describes crystalline RbNa2TlNi at its relaxed geometry. The functional is PBE-GGA.

a = 5.6918 Å, b = 5.6918 Å, c = 5.0738 Å
α = 90.00°, β = 90.00°, γ = 90.00°
Space group P4/mmm (No. 123)
Symmetry-distinct sites (fractional):
Rb 0.0000 0.0000 0.0000
Na 0.0000 0.5000 0.5000
Tl 0.5000 0.5000 0.0000
Ni 0.5000 0.5000 0.5000

D(E_F) in states/eV/atom: 0.46
Uncorrected energy in eV/atom: -2.21
Mass density in g/cm3: 4.0
ΔE_f in eV per atom: 0.141

***

This record from Alexandria describes crystalline RbNaTl2Ni at its relaxed geometry. The functional is PBE-GGA.

a = 5.1502 Å, b = 5.1502 Å, c = 5.7669 Å
α = 90.00°, β = 90.00°, γ = 90.00°
Space group P4/mmm (No. 123)
Symmetry-distinct sites (fractional):
Rb 0.0000 0.0000 0.0000
Na 0.5000 0.5000 0.0000
Tl 0.0000 0.5000 0.5000
Ni 0.5000 0.5000 0.5000

D(E_F) in states/eV/atom: 0.46
Uncorrected energy in eV/atom: -2.52
Mass density in g/cm3: 6.3
ΔE_f in eV per atom: 0.036

***

This record from Alexandria describes crystalline RbNaZrNi2 at its relaxed geometry. The functional is PBE-GGA.

a = 4.8019 Å, b = 4.8019 Å, c = 6.1767 Å
α = 90.00°, β = 90.00°, γ = 90.00°
Space group P4/mmm (No. 123)
Symmetry-distinct sites (fractional):
Rb 0.0000 0.0000 0.0000
Na 0.5000 0.5000 0.0000
Zr 0.0000 0.0000 0.5000
Ni 0.0000 0.5000 0.5000

D(E_F) in states/eV/atom: 0.74
Uncorrected energy in eV/atom: -3.48
Mass density in g/cm3: 3.7
ΔE_f in eV per atom: 1.000

***

This record from Alexandria describes crystalline NaReNi3 at its relaxed geometry. The functional is PBE-GGA.

a = 4.5791 Å, b = 4.5791 Å, c = 4.5791 Å
α = 90.00°, β = 90.00°, γ = 90.00°
Space group Pm-3m (No. 221)
Symmetry-distinct sites (fractional):
Na 0.0000 0.0000 0.0000
Re 0.5000 0.5000 0.5000
Ni 0.0000 0.5000 0.5000

D(E_F) in states/eV/atom: 1.12
Uncorrected energy in eV/atom: -5.17
Mass density in g/cm3: 6.7
ΔE_f in eV per atom: 1.053
E above lowest polymorph in eV/atom: 0.000

***

This record from Alexandria describes crystalline NaReNi2 at its relaxed geometry. The functional is PBE-GGA.

a = 6.0100 Å, b = 6.0100 Å, c = 6.0100 Å
α = 90.00°, β = 90.00°, γ = 90.00°
Space group Fm-3m (No. 225)
Symmetry-distinct sites (fractional):
Na 0.0000 0.0000 0.0000
Re 0.0000 0.0000 0.5000
Ni 0.2500 0.2500 0.2500

D(E_F) in states/eV/atom: 0.37
Uncorrected energy in eV/atom: -5.63
Mass density in g/cm3: 10.0
ΔE_f in eV per atom: 0.704
E above lowest polymorph in eV/atom: 0.000

***

This record from Alexandria describes crystalline Na2ReNi at its relaxed geometry. The functional is PBE-GGA.

a = 9.9052 Å, b = 9.9052 Å, c = 4.5329 Å
α = 90.00°, β = 90.00°, γ = 90.00°
Space group I-42d (No. 122)
Symmetry-distinct sites (fractional):
Na 0.1157 0.2500 0.1250
Re 0.0000 0.0000 0.5000
Ni 0.0000 0.0000 0.0000

D(E_F) in states/eV/atom: 0.76
Uncorrected energy in eV/atom: -3.84
Mass density in g/cm3: 4.3
ΔE_f in eV per atom: 1.379
E above lowest polymorph in eV/atom: 0.000

***

This record from Alexandria describes crystalline NaReNi2 at its relaxed geometry. The functional is PBE-GGA.

a = 6.8217 Å, b = 6.8217 Å, c = 5.5679 Å
α = 90.00°, β = 90.00°, γ = 90.00°
Space group I-42d (No. 122)
Symmetry-distinct sites (fractional):
Na 0.0000 0.0000 0.0000
Re 0.0000 0.0000 0.5000
Ni 0.2129 0.2500 0.6250

D(E_F) in states/eV/atom: 1.22
Uncorrected energy in eV/atom: -5.28
Mass density in g/cm3: 8.4
ΔE_f in eV per atom: 1.050
E above lowest polymorph in eV/atom: 0.346

***

This record from Alexandria describes crystalline NaRe2Ni2 at its relaxed geometry. The functional is PBE-GGA.

a = 7.6766 Å, b = 7.6766 Å, c = 2.5481 Å
α = 90.00°, β = 90.00°, γ = 90.00°
Space group P4/mbm (No. 127)
Symmetry-distinct sites (fractional):
Na 0.0000 0.0000 0.0000
Re 0.1181 0.3819 0.5000
Ni 0.1718 0.6718 0.0000

D(E_F) in states/eV/atom: 0.97
Uncorrected energy in eV/atom: -7.22
Mass density in g/cm3: 11.3
ΔE_f in eV per atom: 0.338